No. 1
DFT (GGA-PBE) results for a relaxed structure of Y5Zn2Au.

```
Y5Zn2Au
1.0
-3.663 3.663 7.706
3.663 -3.663 7.706
3.663 3.663 -7.706
Y Zn Au
10 4 2
Direct
0.000 0.000 0.000
0.020 0.520 0.841
0.179 0.020 0.500
0.321 0.821 0.841
0.480 0.321 0.500
0.500 0.500 0.000
0.520 0.679 0.500
0.679 0.179 0.159
0.821 0.980 0.500
0.980 0.480 0.159
0.121 0.379 0.500
0.379 0.879 0.257
0.621 0.121 0.743
0.879 0.621 0.500
0.250 0.250 0.000
0.750 0.750 0.000
```

Output
Crystal system: tetragonal
Electronic total energy in eV per cell: -82.54

No. 2
DFT (GGA-PBE) results for a relaxed structure of BaCd5Ag3.

```
BaCd5Ag3
1.0
2.298 -7.143 0.000
2.298 7.143 0.000
0.000 0.000 13.985
Ba Cd Ag
2 10 6
Direct
0.154 0.846 0.750
0.846 0.154 0.250
0.000 0.000 0.000
0.000 0.000 0.500
0.199 0.801 0.052
0.199 0.801 0.448
0.429 0.571 0.648
0.429 0.571 0.852
0.571 0.429 0.148
0.571 0.429 0.352
0.801 0.199 0.552
0.801 0.199 0.948
0.149 0.851 0.250
0.393 0.607 0.058
0.393 0.607 0.442
0.607 0.393 0.558
0.607 0.393 0.942
0.851 0.149 0.750
```

Output
Crystal system: orthorhombic
Electronic total energy in eV per cell: -32.50

No. 3
DFT (GGA-PBE) results for a relaxed structure of VB.

```
VB
1.0
10.315 0.000 0.000
0.000 2.415 0.000
0.000 0.000 6.050
V B
6 6
Direct
0.000 0.129 0.000
0.183 0.970 0.717
0.317 0.030 0.217
0.500 0.871 0.500
0.683 0.030 0.217
0.817 0.970 0.717
0.000 0.499 0.665
0.181 0.536 0.034
0.319 0.464 0.534
0.500 0.501 0.165
0.681 0.464 0.534
0.819 0.536 0.034
```

Output
Crystal system: orthorhombic
Electronic total energy in eV per cell: -90.48

What is the electronic total energy in the first record? -82.54 eV per cell

What is the electronic total energy in the third record? -90.48 eV per cell

Please write out number 2 again, unchanged.
DFT (GGA-PBE) results for a relaxed structure of BaCd5Ag3.

```
BaCd5Ag3
1.0
2.298 -7.143 0.000
2.298 7.143 0.000
0.000 0.000 13.985
Ba Cd Ag
2 10 6
Direct
0.154 0.846 0.750
0.846 0.154 0.250
0.000 0.000 0.000
0.000 0.000 0.500
0.199 0.801 0.052
0.199 0.801 0.448
0.429 0.571 0.648
0.429 0.571 0.852
0.571 0.429 0.148
0.571 0.429 0.352
0.801 0.199 0.552
0.801 0.199 0.948
0.149 0.851 0.250
0.393 0.607 0.058
0.393 0.607 0.442
0.607 0.393 0.558
0.607 0.393 0.942
0.851 0.149 0.750
```

Output
Crystal system: orthorhombic
Electronic total energy in eV per cell: -32.50

electronic total energy of number 1 (Y5Zn2Au)? -82.54 eV per cell